[1]
A relaxed structure of BiAs2Pd7. Source: Alexandria via LeMat-Bulk, functional PBE.

abc: 4.466 7.130 7.130
angles: 117.34 90.00 90.00
Atoms (fractional coordinates):
Pd 0.500 0.691 0.937
Pd 0.000 0.230 0.770
Pd 0.500 0.309 0.063
Pd 0.500 0.500 0.500
Pd 0.500 0.937 0.691
Pd 0.000 0.770 0.230
Pd 0.500 0.063 0.309
As 0.500 0.695 0.305
As 0.500 0.305 0.695
Bi 0.000 0.000 0.000

The crystal system is orthorhombic. The formation enthalpy at 0 K comes out at -128 meV per atom. Its energy above the most stable polymorph in this dataset is 2.07 eV/f.u.



[2]
A relaxed structure of Li2HfZnO. Source: Alexandria via LeMat-Bulk, functional PBE.

abc: 4.099 4.099 4.200
angles: 90.00 90.00 90.00
Atoms (fractional coordinates):
O 0.000 0.000 0.000
Hf 0.000 0.000 0.500
Li 0.000 0.500 0.000
Li 0.500 0.000 0.000
Zn 0.500 0.500 0.500

The crystal system is tetragonal. As for the uncorrected formation energy: -1.03 eV per atom.



[3]
A relaxed structure of HgMo2Pt. Source: Alexandria via LeMat-Bulk, functional PBE.

abc: 3.309 3.309 6.253
angles: 90.00 90.00 90.00
Atoms (fractional coordinates):
Mo 0.000 0.000 0.030
Mo 0.500 0.500 0.235
Pt 0.000 0.000 0.487
Hg 0.500 0.500 0.748

The crystal system is tetragonal. The formation enthalpy at 0 K comes out at 205 meV per atom. Its energy above the most stable polymorph in this dataset is 0.20 eV/f.u.



[4]
A relaxed structure of Ba2AlTc. Source: Alexandria via LeMat-Bulk, functional PBE.

abc: 10.701 10.701 10.701
angles: 20.35 20.35 20.35
Each line ends with the local moment (μB).
Atoms (fractional coordinates):
Tc 0.250 0.250 0.250  1.91
Al 0.750 0.750 0.750  0.03
Ba 0.993 0.993 0.993  -0.02
Ba 0.507 0.507 0.507  -0.02

The crystal system is trigonal. The formation enthalpy at 0 K comes out at 923 meV per atom.



[5]
A relaxed structure of Y4Ru5. Source: Alexandria via LeMat-Bulk, functional PBE.

abc: 6.782 6.782 6.782
angles: 96.30 96.30 141.30
Atoms (fractional coordinates):
Ru 0.352 0.648 0.000
Ru 0.352 0.352 0.705
Ru 0.648 0.648 0.295
Ru 0.000 0.000 0.000
Ru 0.648 0.352 0.000
Y 0.000 0.711 0.711
Y 0.711 0.000 0.711
Y 0.000 0.289 0.289
Y 0.289 0.000 0.289

The crystal system is tetragonal. The formation enthalpy at 0 K comes out at -21 meV per atom. Its energy above the most stable polymorph in this dataset is 0.00 eV/f.u.



[6]
A relaxed structure of Cs4Rb4Pb. Source: Alexandria via LeMat-Bulk, functional PBE.

abc: 9.762 12.987 12.987
angles: 90.00 90.00 90.00
Atoms (fractional coordinates):
Cs 0.813 0.502 0.698
Cs 0.187 0.302 0.502
Cs 0.813 0.498 0.302
Cs 0.687 0.998 0.802
Cs 0.313 0.198 0.998
Cs 0.687 0.002 0.198
Cs 0.313 0.802 0.002
Cs 0.187 0.698 0.498
Pb 0.500 0.500 0.500
Pb 0.000 0.000 0.000
Rb 0.631 0.782 0.498
Rb 0.869 0.718 0.002
Rb 0.131 0.002 0.282
Rb 0.869 0.282 0.998
Rb 0.131 0.998 0.718
Rb 0.369 0.498 0.218
Rb 0.631 0.218 0.502
Rb 0.369 0.502 0.782

The crystal system is tetragonal. The formation enthalpy at 0 K comes out at 7 meV per atom.



[7]
A relaxed structure of CoTeAsSe2. Source: Alexandria via LeMat-Bulk, functional PBE.

abc: 4.827 4.827 4.473
angles: 90.00 90.00 90.00
Atoms (fractional coordinates):
As 0.000 0.000 0.500
Se 0.000 0.500 0.000
Se 0.500 0.000 0.000
Co 0.000 0.000 0.000
Te 0.500 0.500 0.500

The crystal system is tetragonal. As for the uncorrected formation energy: 0.32 eV per atom. Its energy above the most stable polymorph in this dataset is 0.00 eV/f.u.



[8]
A relaxed structure of PaMnAu. Source: Alexandria via LeMat-Bulk, functional PBE.

abc: 3.100 3.100 6.391
angles: 104.04 104.04 90.00
Each line ends with the local moment (μB).
Atoms (fractional coordinates):
Au 0.019 0.019 0.039  0.04
Mn 0.656 0.656 0.313  3.19
Pa 0.324 0.324 0.649  -0.61

The crystal system is tetragonal. The formation enthalpy at 0 K comes out at -50 meV per atom. Its energy above the most stable polymorph in this dataset is 0.48 eV/f.u.



[9]
A relaxed structure of Mg4NiW. Source: Alexandria via LeMat-Bulk, functional PBE.

abc: 5.380 5.380 5.380
angles: 60.00 60.00 60.00
Each line ends with the local moment (μB).
Atoms (fractional coordinates):
Mg 0.875 0.375 0.375  0.00
Mg 0.375 0.875 0.375  0.00
Mg 0.375 0.375 0.875  0.00
Mg 0.375 0.375 0.375  0.00
Ni 0.750 0.750 0.750  0.55
W 0.000 0.000 0.000  1.90

The crystal system is cubic. The formation enthalpy at 0 K comes out at 804 meV per atom.



[10]
A relaxed structure of LaScBr2. Source: Alexandria via LeMat-Bulk, functional PBE.

abc: 7.190 7.190 7.190
angles: 148.69 147.84 45.50
Atoms (fractional coordinates):
Br 0.777 0.277 0.500
Br 0.056 0.056 0.000
Sc 0.213 0.713 0.500
La 0.454 0.454 0.000

The crystal system is orthorhombic. As for the uncorrected formation energy: -0.97 eV per atom. Its energy above the most stable polymorph in this dataset is 0.57 eV/f.u.



[11]
A relaxed structure of Y3InN. Source: Alexandria via LeMat-Bulk, functional PBE.

abc: 9.129 9.129 9.129
angles: 60.00 60.00 60.00
Each line ends with the local moment (μB).
Atoms (fractional coordinates):
Y 0.188 0.188 0.812  0.07
Y 0.188 0.812 0.812  0.07
Y 0.062 0.062 0.438  0.07
Y 0.438 0.438 0.062  0.09
Y 0.188 0.812 0.188  0.07
Y 0.062 0.438 0.438  0.07
Y 0.812 0.188 0.812  0.07
Y 0.812 0.188 0.188  0.08
Y 0.438 0.062 0.062  0.08
Y 0.812 0.812 0.188  0.09
Y 0.062 0.438 0.062  0.07
Y 0.438 0.062 0.438  0.07
In 0.625 0.625 0.125  0.00
In 0.625 0.125 0.625  0.01
In 0.125 0.625 0.625  -0.01
In 0.625 0.625 0.625  0.00
N 0.125 0.125 0.625  -0.02
N 0.625 0.125 0.125  -0.02
N 0.125 0.125 0.125  -0.02
N 0.125 0.625 0.125  -0.02

The crystal system is cubic. As for the uncorrected formation energy: -0.55 eV per atom.



[12]
A relaxed structure of CaLaSc3. Source: Alexandria via LeMat-Bulk, functional PBE.

abc: 5.389 5.389 5.389
angles: 90.00 90.00 90.00
Atoms (fractional coordinates):
Ca 0.000 0.000 0.000
La 0.500 0.500 0.500
Sc 0.500 0.000 0.000
Sc 0.000 0.000 0.500
Sc 0.000 0.500 0.000

The crystal system is cubic. The formation enthalpy at 0 K comes out at 803 meV per atom. Its energy above the most stable polymorph in this dataset is 0.81 eV/f.u.



- What is the formula in the eighth record?
  PaMnAu



- What is the formula in the twelfth record?
  CaLaSc3